AcPbCl2 PBE optimized geometry; formation energy (no corrections) = -4.2 eV/f.u.; Fermi-level density of states = 3.65 states/eV per cell; uncorrected energy = -3.9154 eV per atom
1.0
5.280 0.000 0.000
2.640 4.573 0.000
2.640 1.524 4.633
Pb Ac Cl
1 1 2
Cartesian
5.280 3.049 2.317 Pb
0.000 0.000 0.000 Ac
2.640 1.524 1.423 Cl
7.920 4.573 3.210 Cl